First-principles (GGA-PBE) data for a relaxed structure of Mg3Ga4Pd2, as listed in Alexandria.

Unit cell a=4.4030 b=5.3369 c=8.0597 alpha=65.62 beta=74.27 gamma=66.57
Positions (direct):
Mg 0.5385 0.2389 0.6803
Mg 0.0000 0.0000 0.0000
Mg 0.4615 0.7611 0.3197
Ga 0.3098 0.3244 0.0542
Ga 0.8595 0.7266 0.5596
Ga 0.1405 0.2734 0.4404
Ga 0.6902 0.6756 0.9458
Pd 0.7481 0.2278 0.2675
Pd 0.2519 0.7722 0.7325

Values from the calculation:
Magnetization   0.00 μB per formula unit
Raw total energy   -31.15 eV/cell
Energy above the most stable polymorph in this dataset   14.8 meV/atom
Formation enthalpy at 0 K   -3.871 eV per formula unit
Calculated volume   17.44 Å³ per atom


First-principles (GGA-PBE) data for a relaxed structure of Mg2Ga3Pd2, as listed in Alexandria.

Unit cell a=4.1255 b=5.1514 c=6.6937 alpha=108.57 beta=90.00 gamma=113.60
Positions (direct):
Mg 0.8434 0.6867 0.2084
Mg 0.1566 0.3133 0.7916
Ga 0.5000 0.0000 0.0000
Ga 0.6298 0.2596 0.4573
Ga 0.3702 0.7404 0.5427
Pd 0.8680 0.7360 0.7977
Pd 0.1320 0.2640 0.2023

Values from the calculation:
Magnetization   0.00 μB per formula unit
Raw total energy   -26.41 eV/cell
Formation enthalpy at 0 K   -3.754 eV per formula unit
Calculated volume   17.46 Å³ per atom


First-principles (GGA-PBE) data for a relaxed structure of MgGa4Pd2, as listed in Alexandria.

Unit cell a=3.1444 b=8.7970 c=8.7970 alpha=90.00 beta=90.00 gamma=90.00
Positions (direct):
Mg 0.5000 0.0000 0.0000
Mg 0.0000 0.5000 0.5000
Ga 0.0000 0.0729 0.3109
Ga 0.0000 0.9271 0.6891
Ga 0.5000 0.1891 0.5729
Ga 0.5000 0.8109 0.4271
Ga 0.5000 0.4271 0.8109
Ga 0.5000 0.5729 0.1891
Ga 0.0000 0.3109 0.0729
Ga 0.0000 0.6891 0.9271
Pd 0.0000 0.1890 0.8110
Pd 0.0000 0.8110 0.1890
Pd 0.5000 0.6890 0.6890
Pd 0.5000 0.3110 0.3110

Values from the calculation:
Magnetization   0.00 μB per formula unit
Raw total energy   -54.33 eV/cell
Energy above the most stable polymorph in this dataset   0.0 meV/atom
Formation enthalpy at 0 K   -3.077 eV per formula unit
Calculated volume   17.38 Å³ per atom


First-principles (GGA-PBE) data for a relaxed structure of Mg6GaPd, as listed in Alexandria.

Unit cell a=6.1261 b=6.1475 c=6.1566 alpha=60.05 beta=76.58 gamma=62.30
Positions (direct):
Mg 0.7520 0.4451 0.5910
Mg 0.7520 0.0361 0.4090
Mg 0.2480 0.9639 0.5910
Mg 0.2480 0.5549 0.4090
Mg 0.7567 0.7562 0.0000
Mg 0.2433 0.2438 0.0000
Ga 0.5000 0.5000 0.0000
Pd 0.0000 0.0000 0.0000

Values from the calculation:
Magnetization   0.00 μB per formula unit
Raw total energy   -18.41 eV/cell
Energy above the most stable polymorph in this dataset   148.1 meV/atom
Formation enthalpy at 0 K   -0.620 eV per formula unit
Calculated volume   22.23 Å³ per atom


First-principles (GGA-PBE) data for a relaxed structure of Mg8GaPd5, as listed in Alexandria.

Unit cell a=6.9255 b=6.9255 c=6.9255 alpha=110.31 beta=107.81 gamma=110.31
Positions (direct):
Mg 0.1428 0.7484 0.0587
Mg 0.9413 0.0841 0.6897
Mg 0.7428 0.2512 0.3459
Mg 0.6541 0.3969 0.9053
Mg 0.5083 0.6031 0.2572
Mg 0.6056 0.9159 0.8572
Mg 0.3103 0.2516 0.3944
Mg 0.0947 0.7488 0.4917
Ga 0.2500 0.5000 0.7500
Pd 0.0326 0.3537 0.1363
Pd 0.8637 0.8963 0.2174
Pd 0.7826 0.6463 0.6789
Pd 0.5000 0.0000 0.5000
Pd 0.3211 0.1037 0.9674

Values from the calculation:
Magnetization   0.00 μB per formula unit
Raw total energy   -48.02 eV/cell
Formation enthalpy at 0 K   -6.277 eV per formula unit
Calculated volume   18.25 Å³ per atom


First-principles (GGA-PBE) data for a relaxed structure of Mg12Ga2Pd5, as listed in Alexandria.

Unit cell a=8.9646 b=7.1828 c=7.2993 alpha=82.26 beta=90.00 gamma=128.61
Positions (direct):
Mg 0.8905 0.7811 0.1568
Mg 0.9928 0.6550 0.7912
Mg 0.6622 0.6550 0.7912
Mg 0.1596 0.7838 0.3944
Mg 0.6243 0.7838 0.3944
Mg 0.4020 0.8039 0.7468
Mg 0.5980 0.1961 0.2532
Mg 0.8404 0.2162 0.6056
Mg 0.3757 0.2162 0.6056
Mg 0.0072 0.3450 0.2088
Mg 0.3378 0.3450 0.2088
Mg 0.1095 0.2189 0.8432
Ga 0.7299 0.0000 0.0000
Ga 0.2701 0.0000 0.0000
Pd 0.2470 0.4940 0.5057
Pd 0.3778 0.7556 0.1276
Pd 0.0000 0.0000 0.5000
Pd 0.6222 0.2444 0.8724
Pd 0.7530 0.5060 0.4943

Values from the calculation:
Magnetization   0.00 μB per formula unit
Raw total energy   -59.32 eV/cell
Formation enthalpy at 0 K   -8.167 eV per formula unit
Calculated volume   19.04 Å³ per atom


First-principles (GGA-PBE) data for a relaxed structure of MgGa3Pd3, as listed in Alexandria.

Unit cell a=6.8583 b=6.8583 c=6.8583 alpha=90.00 beta=90.00 gamma=90.00
Positions (direct):
Mg 0.5000 0.5000 0.5000
Mg 0.0000 0.0000 0.0000
Ga 0.0000 0.2500 0.5000
Ga 0.0000 0.7500 0.5000
Ga 0.5000 0.0000 0.7500
Ga 0.7500 0.5000 0.0000
Ga 0.5000 0.0000 0.2500
Ga 0.2500 0.5000 0.0000
Pd 0.2500 0.0000 0.5000
Pd 0.0000 0.5000 0.2500
Pd 0.5000 0.7500 0.0000
Pd 0.7500 0.0000 0.5000
Pd 0.0000 0.5000 0.7500
Pd 0.5000 0.2500 0.0000

Values from the calculation:
Magnetization   0.00 μB per formula unit
Raw total energy   -52.99 eV/cell
Energy above the most stable polymorph in this dataset   487.0 meV/atom
Formation enthalpy at 0 K   -0.240 eV per formula unit
Calculated volume   23.04 Å³ per atom


First-principles (GGA-PBE) data for a relaxed structure of MgGa4Pd2, as listed in Alexandria.

Unit cell a=4.0430 b=7.7027 c=15.6175 alpha=90.00 beta=90.00 gamma=90.00
Positions (direct):
Mg 0.7500 0.8943 0.6472
Mg 0.2500 0.1057 0.3528
Mg 0.2500 0.3943 0.8528
Mg 0.7500 0.6057 0.1472
Ga 0.2500 0.2041 0.6854
Ga 0.7500 0.7959 0.3146
Ga 0.7500 0.7041 0.8146
Ga 0.2500 0.2959 0.1854
Ga 0.2500 0.5978 0.6928
Ga 0.7500 0.4022 0.3072
Ga 0.7500 0.0978 0.8072
Ga 0.2500 0.9022 0.1928
Ga 0.2500 0.1019 0.5329
Ga 0.7500 0.8981 0.4671
Ga 0.7500 0.6019 0.9671
Ga 0.2500 0.3981 0.0329
Ga 0.2500 0.4831 0.4340
Ga 0.7500 0.5169 0.5660
Ga 0.7500 0.9831 0.0660
Ga 0.2500 0.0169 0.9340
Pd 0.2500 0.7418 0.5443
Pd 0.7500 0.2582 0.4557
Pd 0.7500 0.2418 0.9557
Pd 0.2500 0.7582 0.0443
Pd 0.2500 0.8961 0.7724
Pd 0.7500 0.1039 0.2276
Pd 0.7500 0.3961 0.7276
Pd 0.2500 0.6039 0.2724

Values from the calculation:
Magnetization   0.00 μB per formula unit
Raw total energy   -108.39 eV/cell
Energy above the most stable polymorph in this dataset   9.6 meV/atom
Formation enthalpy at 0 K   -3.010 eV per formula unit
Calculated volume   17.37 Å³ per atom


First-principles (GGA-PBE) data for a relaxed structure of MgGa2Pd4, as listed in Alexandria.

Unit cell a=5.6535 b=7.0497 c=6.9369 alpha=111.97 beta=104.00 gamma=109.26
Positions (direct):
Mg 0.3060 0.7047 0.5137
Mg 0.0427 0.9436 0.9851
Ga 0.5054 0.4419 0.7319
Ga 0.7438 0.8846 0.3821
Ga 0.6174 0.2550 0.1184
Ga 0.0248 0.4645 0.7707
Pd 0.0313 0.2467 0.3677
Pd 0.3316 0.4694 0.1157
Pd 0.7748 0.5957 0.5253
Pd 0.7698 0.1183 0.8003
Pd 0.4659 0.1042 0.3821
Pd 0.2178 0.0643 0.6973
Pd 0.5025 0.8218 0.9739
Pd 0.9163 0.6354 0.1356

Values from the calculation:
Magnetization   0.00 μB per formula unit
Raw total energy   -65.38 eV/cell
Energy above the most stable polymorph in this dataset   0.0 meV/atom
Formation enthalpy at 0 K   -4.269 eV per formula unit
Calculated volume   15.71 Å³ per atom


First-principles (GGA-PBE) data for a relaxed structure of MgGa5Pd2, as listed in Alexandria.

Unit cell a=3.5259 b=6.5762 c=6.5762 alpha=77.95 beta=74.45 gamma=74.45
Positions (direct):
Mg 0.0000 0.0000 0.0000
Ga 0.0000 0.5000 0.5000
Ga 0.6448 0.5599 0.1506
Ga 0.3552 0.4401 0.8494
Ga 0.3552 0.8494 0.4401
Ga 0.6448 0.1506 0.5599
Pd 0.7343 0.7657 0.7657
Pd 0.2657 0.2343 0.2343

Values from the calculation:
Magnetization   0.00 μB per formula unit
Raw total energy   -29.99 eV/cell
Formation enthalpy at 0 K   -2.873 eV per formula unit
Calculated volume   17.50 Å³ per atom


First-principles (GGA-PBE) data for a relaxed structure of Mg3Ga7Pd4, as listed in Alexandria.

Unit cell a=4.2898 b=7.1427 c=9.0302 alpha=71.17 beta=76.26 gamma=72.53
Positions (direct):
Mg 0.3415 0.1465 0.1705
Mg 0.6585 0.8535 0.8295
Mg 0.0000 0.5000 0.5000
Ga 0.3182 0.8493 0.5144
Ga 0.4837 0.2921 0.7405
Ga 0.8457 0.4136 0.8950
Ga 0.6818 0.1507 0.4856
Ga 0.1543 0.5864 0.1050
Ga 0.0000 0.0000 0.0000
Ga 0.5163 0.7079 0.2595
Pd 0.7150 0.3676 0.2024
Pd 0.2850 0.6324 0.7976
Pd 0.8942 0.9013 0.3103
Pd 0.1058 0.0987 0.6897

Values from the calculation:
Magnetization   0.00 μB per formula unit
Raw total energy   -52.87 eV/cell
Formation enthalpy at 0 K   -6.128 eV per formula unit
Calculated volume   17.63 Å³ per atom


First-principles (GGA-PBE) data for a relaxed structure of MgGa4Pd2, as listed in Alexandria.

Unit cell a=4.9295 b=4.9295 c=7.2984 alpha=70.26 beta=70.26 gamma=90.00
Positions (direct):
Mg 0.0000 0.0000 0.0000
Ga 0.2095 0.2095 0.5810
Ga 0.7905 0.7905 0.4190
Ga 0.0000 0.5000 0.0000
Ga 0.5000 0.0000 0.0000
Pd 0.3976 0.3976 0.2048
Pd 0.6024 0.6024 0.7952

Values from the calculation:
Magnetization   0.00 μB per formula unit
Raw total energy   -22.83 eV/cell
Energy above the most stable polymorph in this dataset   619.1 meV/atom
Formation enthalpy at 0 K   1.257 eV per formula unit
Calculated volume   22.26 Å³ per atom